(1)
Here is an optimized crystal structure of Li4PmPr from Alexandria. Energies are from PBE.

Its crystal system is cubic. The calculation puts the density of states at the Fermi level at 0.78 states/eV/atom. The space group is F-43m, No. 216.

a = 5.972 Å, b = 5.972 Å, c = 5.972 Å
α = 60.00°, β = 60.00°, γ = 60.00°
Fractional positions:
Pr1 0.250 0.250 0.250
Li1 0.625 0.124 0.625
Li2 0.124 0.625 0.625
Li3 0.625 0.625 0.124
Li4 0.625 0.625 0.625
Pm1 0.000 0.000 0.000

=====

(2)
Here is an optimized crystal structure of LiPmPr from Alexandria. Energies are from PBE.

Its crystal system is orthorhombic. For the distance to the lowest polymorph of the same formula, the calculation gives 112.2 meV per atom. The calculation puts the density of states at the Fermi level at 1.18 states/eV/atom. The space group is Imm2, No. 44.

a = 6.524 Å, b = 6.524 Å, c = 5.504 Å
α = 65.04°, β = 65.04°, γ = 65.53°
Fractional positions:
Li1 0.280 0.835 0.135
Li2 0.835 0.280 0.135
Pm1 0.644 0.138 0.802
Pm2 0.138 0.644 0.802
Pr1 0.716 0.716 0.477
Pr2 0.234 0.234 0.459

=====

(3)
Here is an optimized crystal structure of LiPmPr2 from Alexandria. Energies are from PBE.

Its crystal system is cubic. For the distance to the lowest polymorph of the same formula, the calculation gives 117.9 meV per atom. The calculation puts the density of states at the Fermi level at 1.34 states/eV/atom. The space group is Fm-3m, No. 225.

a = 5.678 Å, b = 5.678 Å, c = 5.678 Å
α = 60.00°, β = 60.00°, γ = 60.00°
Fractional positions:
Pr1 0.250 0.250 0.250
Pr2 0.750 0.750 0.750
Li1 0.500 0.500 0.500
Pm1 0.000 0.000 0.000

=====

(4)
Here is an optimized crystal structure of LiPmPr2 from Alexandria. Energies are from PBE.

Its crystal system is tetragonal. For the distance to the lowest polymorph of the same formula, the calculation gives 0.0 meV per atom. The calculation puts the density of states at the Fermi level at 1.33 states/eV/atom. The space group is P4/mmm, No. 123.

a = 3.698 Å, b = 3.698 Å, c = 9.314 Å
α = 90.00°, β = 90.00°, γ = 90.00°
Fractional positions:
Pr1 0.000 0.000 0.774
Pr2 0.000 0.000 0.226
Pm1 0.500 0.500 0.500
Li1 0.500 0.500 0.000

=====

(5)
Here is an optimized crystal structure of LiPm5Pr8 from Alexandria. Energies are from PBE.

Its crystal system is tetragonal. The calculation puts the density of states at the Fermi level at 1.44 states/eV/atom. The space group is I-4, No. 82.

a = 8.651 Å, b = 8.651 Å, c = 8.651 Å
α = 110.77°, β = 106.91°, γ = 110.77°
Fractional positions:
Li1 0.250 0.500 0.750
Pm1 0.500 0.000 0.500
Pm2 0.023 0.305 0.128
Pm3 0.872 0.895 0.177
Pm4 0.282 0.105 0.977
Pm5 0.823 0.695 0.718
Pr1 0.338 0.277 0.450
Pr2 0.664 0.397 0.924
Pr3 0.550 0.887 0.826
Pr4 0.174 0.723 0.061
Pr5 0.939 0.113 0.662
Pr6 0.733 0.260 0.336
Pr7 0.076 0.740 0.473
Pr8 0.527 0.603 0.267

=====

(6)
Here is an optimized crystal structure of LiPmPr2 from Alexandria. Energies are from PBE.

Its crystal system is trigonal. For the distance to the lowest polymorph of the same formula, the calculation gives 110.9 meV per atom. The calculation puts the density of states at the Fermi level at 1.38 states/eV/atom. The space group is R-3m, No. 166.

a = 3.574 Å, b = 3.574 Å, c = 12.743 Å
α = 81.94°, β = 81.94°, γ = 60.00°
Fractional positions:
Pm1 0.500 0.500 0.500
Pr1 0.088 0.088 0.735
Pr2 0.912 0.912 0.265
Li1 0.000 0.000 0.000

=====

(7)
Here is an optimized crystal structure of LiPm3Pr12 from Alexandria. Energies are from PBE.

Its crystal system is tetragonal. The calculation puts the density of states at the Fermi level at 1.43 states/eV/atom. The space group is P4/mmm, No. 123.

a = 5.204 Å, b = 5.204 Å, c = 20.719 Å
α = 90.00°, β = 90.00°, γ = 90.00°
Fractional positions:
Pr1 0.500 0.000 0.122
Pr2 0.500 0.000 0.878
Pr3 0.500 0.500 0.244
Pr4 0.000 0.500 0.878
Pr5 0.500 0.000 0.373
Pr6 0.500 0.000 0.627
Pr7 0.500 0.500 0.000
Pr8 0.500 0.500 0.756
Pr9 0.500 0.500 0.500
Pr10 0.000 0.500 0.627
Pr11 0.000 0.500 0.373
Pr12 0.000 0.500 0.122
Pm1 0.000 0.000 0.246
Pm2 0.000 0.000 0.754
Pm3 0.000 0.000 0.500
Li1 0.000 0.000 0.000

=====

(8)
Here is an optimized crystal structure of LiPmPr from Alexandria. Energies are from PBE.

Its crystal system is tetragonal. For the distance to the lowest polymorph of the same formula, the calculation gives 33.1 meV per atom. The calculation puts the density of states at the Fermi level at 1.54 states/eV/atom. The space group is I4mm, No. 107.

a = 3.786 Å, b = 3.786 Å, c = 6.896 Å
α = 105.93°, β = 105.93°, γ = 90.00°
Each line ends with the local moment (μB).
Fractional positions:
Pr1 0.320 0.320 0.640  0.06
Li1 0.665 0.665 0.330  0.00
Pm1 0.015 0.015 0.029  0.07

=====

Total DFT energy (no corrections)? In order: -2.76, -3.66, -3.88, -4.00, -4.35, -3.89, -4.55, -3.74 eV/atom.